Computed, not measured: a geometry-optimized LaNd2Th structure at the GGA-PBE level of DFT.

Structure (POSCAR):
```
LaNd2Th
1.0
12.101 0.000 0.000
0.000 3.532 0.000
0.000 0.000 13.047
La Nd Th
4 8 4
Cartesian
0.275 0.883 1.722 La
5.775 2.649 8.245 La
6.325 0.883 4.802 La
11.826 2.649 11.325 La
2.634 2.649 9.640 Nd
2.860 0.883 6.549 Nd
3.190 2.649 0.026 Nd
3.416 0.883 3.117 Nd
8.685 2.649 9.930 Nd
8.910 0.883 13.021 Nd
9.241 2.649 6.498 Nd
9.466 0.883 3.406 Nd
0.216 2.649 4.917 Th
5.835 0.883 11.441 Th
6.266 2.649 1.606 Th
11.885 0.883 8.129 Th
```

Summary:
E: -5.36 eV per atom
Density: 7.854 g cm⁻³
Size of the total moment: 0.000 μB/atom
Calculated volume: 139.4 Å³/f.u.